# BaTlGeAs | Alexandria | GGA-PBE | relaxed
data_BaTlGeAs
_space_group_name_H-M_alt 'C 1 m 1'
_space_group_IT_number 8
_cell_length_a 12.311
_cell_length_b 4.105
_cell_length_c 5.116
_cell_angle_alpha 90.00
_cell_angle_beta 111.29
_cell_angle_gamma 90.00
loop_
_space_group_symop_operation_xyz
'x,y,z'
'x,-y,z'
'x+1/2,y+1/2,z'
'x+1/2,-y+1/2,z'
loop_
_atom_site_label
_atom_site_fract_x
_atom_site_fract_y
_atom_site_fract_z
Ba1 0.000 0.000 0.000
Tl1 0.219 0.000 0.688
Ge1 0.394 0.000 0.413
As1 0.259 0.500 0.200
# Total DFT energy (no corrections) ... -15.2 eV/f.u.
# Relative energy among the computed polymorphs ... 0.08 eV/f.u.